1.
Here is BaPa2ZnN4 after structural relaxation from the Alexandria database. Energies are from GGA-PBE.

abc: 6.3166 6.3166 11.7303
angles: 90.00 90.00 146.51
Fractional positions:
Ba 0.0916 0.9084 0.7500
Ba 0.9084 0.0916 0.2500
Pa 0.3709 0.6291 0.5513
Pa 0.3709 0.6291 0.9487
Pa 0.6291 0.3709 0.0513
Pa 0.6291 0.3709 0.4487
Zn 0.1761 0.8239 0.2500
Zn 0.8239 0.1761 0.7500
N 0.0000 0.0000 0.0000
N 0.0000 0.0000 0.5000
N 0.2534 0.7466 0.0984
N 0.2534 0.7466 0.4016
N 0.4115 0.5885 0.7500
N 0.5885 0.4115 0.2500
N 0.7466 0.2534 0.5984
N 0.7466 0.2534 0.9016

Summary:
The symmetry is No. 63. For the formation energy without anion corrections, the calculation gives -1130 meV per atom. As for the energy: -64.529 eV/f.u.

---

2.
Here is KNa3Pa2S6 after structural relaxation from the Alexandria database. Energies are from GGA-PBE.

abc: 9.0896 9.0896 8.4698
angles: 101.54 101.54 25.82
Fractional positions:
K 0.0000 0.0000 0.0000
Na 0.0000 0.0000 0.5000
Na 0.3422 0.3422 0.1682
Na 0.6578 0.6578 0.8318
Pa 0.3344 0.3344 0.6648
Pa 0.6656 0.6656 0.3352
S 0.1739 0.1739 0.5655
S 0.1776 0.1776 0.1227
S 0.4836 0.4836 0.7224
S 0.5164 0.5164 0.2776
S 0.8224 0.8224 0.8773
S 0.8261 0.8261 0.4345

Summary:
The symmetry is No. 12. For the formation energy without anion corrections, the calculation gives -1441 meV per atom. As for the energy: -66.105 eV/f.u.

---

3.
Here is CdH3I after structural relaxation from the Alexandria database. Energies are from GGA-PBE.

abc: 4.1233 4.1233 4.1233
angles: 90.00 90.00 90.00
Fractional positions:
Cd 0.0000 0.0000 0.0000
H 0.0000 0.0000 0.5000
H 0.0000 0.5000 0.0000
H 0.5000 0.0000 0.0000
I 0.5000 0.5000 0.5000

Summary:
For the energy above the most stable polymorph in this dataset, the calculation gives 0 meV per atom. The symmetry is No. 221. As for the energy: -8.718 eV/f.u.

---

4.
Here is DySi2Sb2Pt7 after structural relaxation from the Alexandria database. Energies are from GGA-PBE.

abc: 3.9546 3.9546 15.3432
angles: 97.35 97.35 89.99
Fractional positions:
Dy 0.0000 0.0000 0.0000
Si 0.3821 0.3821 0.7611
Si 0.6179 0.6179 0.2389
Sb 0.2104 0.2104 0.4223
Sb 0.7896 0.7896 0.5777
Pt 0.0729 0.5730 0.1481
Pt 0.3028 0.3028 0.6050
Pt 0.4270 0.9271 0.8519
Pt 0.5000 0.5000 0.0000
Pt 0.5730 0.0729 0.1481
Pt 0.6972 0.6972 0.3950
Pt 0.9271 0.4270 0.8519

Summary:
The symmetry is No. 12. For the formation energy without anion corrections, the calculation gives -692 meV per atom. As for the energy: -74.277 eV/f.u.

---

Repeat the third record exactly.
Here is CdH3I after structural relaxation from the Alexandria database. Energies are from GGA-PBE.

abc: 4.1233 4.1233 4.1233
angles: 90.00 90.00 90.00
Fractional positions:
Cd 0.0000 0.0000 0.0000
H 0.0000 0.0000 0.5000
H 0.0000 0.5000 0.0000
H 0.5000 0.0000 0.0000
I 0.5000 0.5000 0.5000

Summary:
For the energy above the most stable polymorph in this dataset, the calculation gives 0 meV per atom. The symmetry is No. 221. As for the energy: -8.718 eV/f.u.